A relaxed structure of BaSb2Pb. Source: the Alexandria database, functional PBE-GGA.

Lattice parameters (Å, degrees): 3.5446 6.1933 6.1960 90.00 90.09 90.00
With the nearest neighbours (Å) after each atom.
Space group Pm (No. 6)
Asymmetric unit:
Ba 0.0000 0.0000 0.0000 [1 per cell]  2 Ba 3.54, 8 Sb 3.55-3.59
Sb 0.5074 0.0000 0.4998 [1 per cell]  2 Pb 3.34, 2 Sb 3.54, 4 Ba 3.55-3.59
Sb 0.5070 0.5000 0.9921 [1 per cell]  2 Pb 3.33-3.36, 2 Sb 3.54, 4 Ba 3.56-3.58
Pb 0.8638 0.5000 0.4948 [1 per cell]  4 Sb 3.33-3.36, 2 Pb 3.54

Values from the calculation:
Its formation energy without anion corrections is -0.388 eV/atom. The calculation puts the density of states at the Fermi level at 1.42 states/eV/f.u.

A relaxed structure of PbCl2. Source: the Alexandria database, functional PBE-GGA.

Lattice parameters (Å, degrees): 10.9219 4.1504 9.0436 90.00 93.66 90.00
With the nearest neighbours (Å) after each atom.
Space group C2/m (No. 12)
Asymmetric unit:
Pb 0.1139 0.0000 0.3261 [4 per cell]  3 Cl 2.75-2.76
Cl 0.1381 0.5000 0.5957 [4 per cell]  1 Pb 2.76
Cl 0.1534 0.5000 0.1358 [4 per cell]  2 Pb 2.75

Values from the calculation:
Its formation energy without anion corrections is -1.098 eV/atom. The calculation puts the density of states at the Fermi level at 0.00 states/eV/f.u.

A relaxed structure of Pu3Ni4As4. Source: the Alexandria database, functional PBE-GGA.

Lattice parameters (Å, degrees): 4.0600 7.0759 13.0898 90.00 90.00 90.00
With the nearest neighbours (Å) after each atom.
Space group Immm (No. 71)
Asymmetric unit:
Pu 0.0000 0.0000 0.0000 [2 per cell]  6 As 2.81-2.89
Pu 0.0000 0.5000 0.1145 [4 per cell]  6 Ni 2.96-3.12, 6 As 2.96-2.98, 1 Pu 3.00
Ni 0.0000 0.3082 0.3154 [8 per cell]  4 As 2.49-2.51, 3 Ni 2.71-2.78
As 0.0000 0.0000 0.2209 [4 per cell]  6 Ni 2.49-2.51
As 0.0000 0.2252 0.5000 [4 per cell]  2 Ni 2.49

Values from the calculation:
Its energy of formation from the pure elements is -0.6648 eV per atom. The calculation puts the density of states at the Fermi level at 31.73 states/eV/f.u.

A relaxed structure of Sc2Al2GaCo5. Source: the Alexandria database, functional PBE-GGA.

Lattice parameters (Å, degrees): 9.3659 9.3659 3.1317 90.00 90.00 90.00
With the nearest neighbours (Å) after each atom.
Space group P4/mbm (No. 127)
Asymmetric unit:
Sc 0.1718 0.3282 0.0000 [4 per cell]  3 Al 2.66-2.83, 10 Co 2.76-2.95
Al 0.1272 0.6272 0.0000 [4 per cell]  6 Co 2.30-2.34
Ga 0.0000 0.0000 0.0000 [2 per cell]  8 Co 2.50
Co 0.0000 0.5000 0.5000 [2 per cell]  4 Al 2.30
Co 0.0620 0.8016 0.5000 [8 per cell]  2 Al 2.34, 2 Ga 2.50

Values from the calculation:
Its energy of formation from the pure elements is -0.3002 eV per atom. The calculation puts the density of states at the Fermi level at 5.08 states/eV/f.u.

A relaxed structure of RbReBiPd2. Source: the Alexandria database, functional PBE-GGA.

Lattice parameters (Å, degrees): 4.9384 4.9384 6.3908 90.00 90.00 90.00
With the nearest neighbours (Å) after each atom.
Space group P4/mmm (No. 123)
Asymmetric unit:
Rb 0.0000 0.0000 0.0000 [1 per cell]  4 Pd 2.47
Re 0.5000 0.5000 0.5000 [1 per cell]  4 Bi 3.49
Bi 0.0000 0.0000 0.5000 [1 per cell]  2 Rb 3.20, 4 Re 3.49
Pd 0.0000 0.5000 0.0000 [2 per cell]  2 Rb 2.47

Values from the calculation:
The energy above the most stable polymorph in this dataset comes out at 772 kJ/mol of formula units. Its energy of formation from the pure elements is 2.2756 eV per atom. The calculation puts the density of states at the Fermi level at 2.75 states/eV/f.u.

A relaxed structure of PmFeGe. Source: the Alexandria database, functional PBE-GGA.

Lattice parameters (Å, degrees): 4.3096 3.9035 7.2142 90.00 90.13 90.00
With the nearest neighbours (Å) after each atom.
Space group P2_1/m (No. 11)
Asymmetric unit:
Pm 0.0013 0.2500 0.2304 [2 per cell]  6 Fe 3.03-3.14, 4 Ge 3.13-3.14
Fe 0.5000 0.2500 0.9347 [2 per cell]  2 Fe 2.17, 1 Ge 2.37
Ge 0.4970 0.2500 0.6065 [2 per cell]  1 Fe 2.37, 2 Ge 2.48

Values from the calculation:
The energy above the most stable polymorph in this dataset comes out at 10 kJ/mol of formula units. Its energy of formation from the pure elements is -0.3351 eV per atom. The calculation puts the density of states at the Fermi level at 2.11 states/eV/f.u.